Below is TlAsBr after structural relaxation, with properties calculated at the PBE-GGA level.

Values from the calculation:
Polymorph energy (0 for the lowest one) ... 0 meV/atom
Space-group type ... P1

```
TlAsBr
1.0
5.8572 0.0000 0.0000
0.3084 6.3678 0.0000
2.1458 0.3554 6.3682
Tl As Br
2 2 2
direct
0.0000 0.0000 0.0000 Tl
0.3369 0.4575 0.3496 Tl
0.6745 0.4177 0.7880 As
0.8033 0.3307 0.4605 As
0.1463 0.5165 0.8645 Br
0.4093 0.9574 0.2243 Br
```


Below is K2HgTeS after structural relaxation, with properties calculated at the PBE-GGA level.

Values from the calculation:
Polymorph energy (0 for the lowest one) ... 0 meV/atom
Space-group type ... P2_1/m

```
K2HgTeS
1.0
8.3541 0.0000 0.0000
0.0000 4.5706 0.0000
-3.0081 0.0000 9.7218
K Hg Te S
4 2 2 2
direct
0.1784 0.2500 0.3859 K
0.1984 0.2500 0.9656 K
0.8016 0.7500 0.0344 K
0.8216 0.7500 0.6141 K
0.4958 0.7500 0.2557 Hg
0.5042 0.2500 0.7443 Hg
0.2910 0.7500 0.6960 Te
0.7090 0.2500 0.3040 Te
0.1909 0.7500 0.1789 S
0.8091 0.2500 0.8211 S
```


Below is K2SnGeTe4 after structural relaxation, with properties calculated at the PBE-GGA level.

Values from the calculation:
Space-group type ... Pmn2_1

```
K2SnGeTe4
1.0
10.6011 0.0000 0.0000
0.0000 9.4150 0.0000
0.0000 0.0000 7.1030
K Sn Ge Te
4 2 2 8
direct
0.2481 0.1626 0.0000 K
0.2519 0.8374 0.5000 K
0.7481 0.8374 0.5000 K
0.7519 0.1626 0.0000 K
0.0000 0.6844 0.0335 Sn
0.5000 0.3156 0.5335 Sn
0.0000 0.3523 0.5654 Ge
0.5000 0.6477 0.0654 Ge
0.0000 0.3907 0.9356 Te
0.0000 0.6161 0.4359 Te
0.2148 0.2182 0.4923 Te
0.2852 0.7818 0.9923 Te
0.5000 0.3839 0.9359 Te
0.5000 0.6093 0.4356 Te
0.7148 0.7818 0.9923 Te
0.7852 0.2182 0.4923 Te
```


Below is TbAgGe after structural relaxation, with properties calculated at the PBE-GGA level.

Values from the calculation:
Fermi-level density of states ... 1.172 states/eV/cell
Space-group type ... P-62m

```
TbAgGe
1.0
7.1862 0.0000 0.0000
-3.5931 6.2234 0.0000
0.0000 0.0000 4.2390
Tb Ag Ge
3 3 3
direct
0.0000 0.4161 0.0000 Tb
0.4161 0.0000 0.0000 Tb
0.5839 0.5839 0.0000 Tb
0.0000 0.7494 0.5000 Ag
0.2506 0.2506 0.5000 Ag
0.7494 0.0000 0.5000 Ag
0.0000 0.0000 0.0000 Ge
0.3333 0.6667 0.5000 Ge
0.6667 0.3333 0.5000 Ge
```


| no. | V (Å³ per cell) | total energy (eV for the cell shown) | M_tot (μB/cell) |
| --- | --- | --- | --- |
| 1 | 237.5 | -19.017 | 0.0 |
| 2 | 371.2 | -27.605 | 0.0 |
| 3 | 709.0 | -54.521 | 0.0 |
| 4 | 189.6 | -42.197 | 0.0 |